No. 1
4
Lattice="5.583 0.007 0.001 2.127 5.162 -0.001 -3.011 -3.843 2.708" Properties=species:S:1:pos:R:3 comment="GGA-PBE Al2RhPb, optimized geometry" delta_e_f_ev_per_fu=-0.24 crystal_system=orthorhombic pbc="T T T"
Pb 1.485 1.952 1.354
Rh 3.213 -0.626 1.355
Al 7.414 4.971 0.000
Al 4.151 2.783 0.000

No. 2
8
Lattice="3.677 0.000 0.000 0.000 11.888 -1.697 0.000 2.000 6.046" Properties=species:S:1:pos:R:3 comment="GGA-PBE La4PmPrTm2, optimized geometry" delta_e_f_ev_per_fu=0.13 crystal_system=monoclinic pbc="T T T"
La 0.000 10.488 3.237
La 3.677 3.399 1.111
La 1.838 9.482 0.223
La 1.838 4.406 4.126
Pm 0.000 6.944 2.174
Pr 1.838 7.944 5.197
Tm 0.000 2.000 6.046
Tm 1.838 1.000 3.023

No. 3
12
Lattice="4.647 0.000 0.000 0.000 4.647 0.000 0.000 0.000 13.961" Properties=species:S:1:pos:R:3 comment="GGA-PBE PuNp2In9, optimized geometry" delta_e_f_ev_per_fu=-0.91 crystal_system=tetragonal pbc="T T T"
Pu 0.000 0.000 0.000
Np 0.000 0.000 4.658
Np 0.000 0.000 9.303
In 2.323 2.323 0.000
In 2.323 2.323 4.652
In 2.323 2.323 9.309
In 2.323 0.000 2.331
In 2.323 0.000 6.981
In 2.323 0.000 11.631
In 0.000 2.323 2.331
In 0.000 2.323 6.981
In 0.000 2.323 11.631

No. 4
6
Lattice="0.000 3.829 3.829 3.829 0.000 3.829 3.829 3.829 0.000" Properties=species:S:1:pos:R:3 comment="GGA-PBE Zn4InSe, optimized geometry" raw_formation_energy_ev_per_atom=0.140 crystal_system=cubic pbc="T T T"
Zn 4.780 2.879 4.780
Zn 2.879 4.780 4.780
Zn 4.780 4.780 2.879
Zn 2.879 2.879 2.879
In 5.744 5.744 5.744
Se 0.000 0.000 0.000

| no. | spin magnetization (μB/f.u.) | V (Å³/atom) |
| --- | --- | --- |
| 1 | 0.00 | 19.50 |
| 2 | 0.00 | 34.59 |
| 3 | 14.37 | 25.12 |
| 4 | 0.00 | 18.72 |